Crystalline MgPRh3 at its relaxed geometry. Source: Alexandria via LeMat-Bulk, functional GGA-PBE. Values from VASP.

Values from the calculation:
- Energy above the most stable polymorph in this dataset: 8.28 eV per formula unit
- Energy of formation: 1276 meV/atom
- Energy: -22.68 eV/cell

Structure (Quantum ESPRESSO input):
```
&SYSTEM
  ibrav = 0, nat = 5, ntyp = 3
/
ATOMIC_SPECIES
P 30.97 P.upf
Mg 24.30 Mg.upf
Rh 102.91 Rh.upf
ATOMIC_POSITIONS angstrom
P 2.239 2.239 2.239
Mg 0.000 0.000 0.000
Rh 0.000 2.239 0.000
Rh 0.000 0.000 2.239
Rh 2.239 0.000 0.000
CELL_PARAMETERS angstrom
4.479 0.000 0.000
0.000 4.479 0.000
0.000 0.000 4.479
```

Crystalline SmTm3Te4 at its relaxed geometry. Source: Alexandria via LeMat-Bulk, functional GGA-PBE. Values from VASP.

Values from the calculation:
- Energy: -40.46 eV/cell
- Formation energy (no corrections): -9.757 eV per formula unit

Structure (Quantum ESPRESSO input):
```
&SYSTEM
  ibrav = 0, nat = 8, ntyp = 3
/
ATOMIC_SPECIES
Sm 150.36 Sm.upf
Tm 168.93 Tm.upf
Te 127.60 Te.upf
ATOMIC_POSITIONS angstrom
Sm 2.129 0.000 0.000
Tm 0.000 -1.196 3.586
Tm 2.129 2.585 3.582
Tm 0.000 3.780 -0.004
Te 0.000 1.335 1.850
Te 2.129 5.032 1.816
Te 0.000 3.834 5.314
Te 2.129 0.137 5.348
CELL_PARAMETERS angstrom
4.259 0.000 0.000
0.000 7.561 -0.008
0.000 -2.392 7.173
```

Crystalline NdErTc at its relaxed geometry. Source: Alexandria via LeMat-Bulk, functional GGA-PBE. Values from VASP.

Values from the calculation:
- Energy above the most stable polymorph in this dataset: 0.77 eV per formula unit
- Energy of formation: 284 meV/atom
- Energy: -37.69 eV/cell

Structure (Quantum ESPRESSO input):
```
&SYSTEM
  ibrav = 0, nat = 6, ntyp = 3
/
ATOMIC_SPECIES
Nd 144.24 Nd.upf
Tc 98.00 Tc.upf
Er 167.26 Er.upf
ATOMIC_POSITIONS angstrom
Nd 3.049 0.000 1.787
Nd 0.000 1.681 5.996
Tc 4.927 1.681 0.000
Tc 1.171 1.681 0.000
Er 0.000 1.681 2.639
Er 3.049 0.000 5.144
CELL_PARAMETERS angstrom
6.099 0.000 0.000
0.000 3.362 0.000
-3.049 -1.681 7.783
```

Crystalline Tm4SbIr at its relaxed geometry. Source: Alexandria via LeMat-Bulk, functional GGA-PBE. Values from VASP.

Values from the calculation:
- Energy above the most stable polymorph in this dataset: 0.00 eV per formula unit
- Energy: -70.63 eV/cell
- Formation energy (no corrections): -4.446 eV per formula unit

Structure (Quantum ESPRESSO input):
```
&SYSTEM
  ibrav = 0, nat = 12, ntyp = 3
/
ATOMIC_SPECIES
Tm 168.93 Tm.upf
Sb 121.76 Sb.upf
Ir 192.22 Ir.upf
ATOMIC_POSITIONS angstrom
Tm 3.150 1.596 2.318
Tm 2.343 4.789 4.380
Tm 3.247 1.596 6.528
Tm 2.246 4.789 0.170
Tm 5.615 6.382 0.611
Tm -0.122 3.189 6.087
Tm 5.615 3.196 0.611
Tm -0.122 0.004 6.087
Sb 1.107 1.596 -0.011
Sb 4.386 4.789 6.709
Ir 1.444 1.596 4.421
Ir 4.048 4.789 2.277
CELL_PARAMETERS angstrom
5.689 0.000 -1.962
0.000 6.385 0.000
-0.196 0.000 8.660
```

Crystalline YRe2HW at its relaxed geometry. Source: Alexandria via LeMat-Bulk, functional GGA-PBE. Values from VASP.

Values from the calculation:
- Energy: -28.35 eV/cell

Structure (Quantum ESPRESSO input):
```
&SYSTEM
  ibrav = 0, nat = 5, ntyp = 4
/
ATOMIC_SPECIES
Y 88.91 Y.upf
Re 186.21 Re.upf
W 183.84 W.upf
H 1.01 H.upf
ATOMIC_POSITIONS angstrom
Y 0.000 0.000 0.000
Re 1.206 -0.150 2.098
Re -2.072 0.333 1.214
W -0.368 -2.429 0.038
H -1.234 -2.246 3.350
CELL_PARAMETERS angstrom
-4.144 0.665 2.429
-0.736 -4.858 0.075
2.411 -0.300 4.196
```

Crystalline MnCdCu2 at its relaxed geometry. Source: Alexandria via LeMat-Bulk, functional GGA-PBE. Values from VASP.

Values from the calculation:
- Energy of formation: 185 meV/atom
- Energy: -17.54 eV/cell

Structure (Quantum ESPRESSO input):
```
&SYSTEM
  ibrav = 0, nat = 4, ntyp = 3
/
ATOMIC_SPECIES
Cd 112.41 Cd.upf
Cu 63.55 Cu.upf
Mn 54.94 Mn.upf
ATOMIC_POSITIONS angstrom
Cd 2.824 -0.318 1.276
Cu 0.112 0.070 0.000
Cu 1.276 1.889 1.285
Mn 3.574 2.222 0.000
CELL_PARAMETERS angstrom
5.095 -0.002 -0.009
2.253 4.570 0.009
-3.235 -2.989 2.561
```

Crystalline In2MoIr at its relaxed geometry. Source: Alexandria via LeMat-Bulk, functional GGA-PBE. Values from VASP.

Values from the calculation:
- Energy above the most stable polymorph in this dataset: 1.31 eV per formula unit
- Energy of formation: 323 meV/atom
- Energy: -23.88 eV/cell

Structure (Quantum ESPRESSO input):
```
&SYSTEM
  ibrav = 0, nat = 4, ntyp = 3
/
ATOMIC_SPECIES
In 114.82 In.upf
Ir 192.22 Ir.upf
Mo 95.94 Mo.upf
ATOMIC_POSITIONS angstrom
In 0.000 0.000 0.000
In 0.998 2.402 1.443
Ir 3.599 2.404 0.000
Mo 2.601 0.002 1.443
CELL_PARAMETERS angstrom
5.202 0.004 0.000
1.996 4.804 0.000
-3.599 -2.404 2.886
```

Crystalline TaRhW2 at its relaxed geometry. Source: Alexandria via LeMat-Bulk, functional GGA-PBE. Values from VASP.

Values from the calculation:
- Energy above the most stable polymorph in this dataset: 0.18 eV per formula unit
- Energy of formation: -51 meV/atom
- Energy: -45.31 eV/cell

Structure (Quantum ESPRESSO input):
```
&SYSTEM
  ibrav = 0, nat = 4, ntyp = 3
/
ATOMIC_SPECIES
Ta 180.95 Ta.upf
Rh 102.91 Rh.upf
W 183.84 W.upf
ATOMIC_POSITIONS angstrom
Ta 0.000 2.176 2.257
Rh 1.650 0.000 2.257
W 0.000 0.000 0.000
W 1.650 2.176 0.000
CELL_PARAMETERS angstrom
3.300 0.000 0.000
0.000 4.352 0.000
0.000 0.000 4.515
```

Crystalline PaNbGa2 at its relaxed geometry. Source: Alexandria via LeMat-Bulk, functional GGA-PBE. Values from VASP.

Values from the calculation:
- Energy above the most stable polymorph in this dataset: 0.00 eV per formula unit
- Energy of formation: -280 meV/atom
- Energy: -53.48 eV/cell

Structure (Quantum ESPRESSO input):
```
&SYSTEM
  ibrav = 0, nat = 8, ntyp = 3
/
ATOMIC_SPECIES
Pa 231.04 Pa.upf
Nb 92.91 Nb.upf
Ga 69.72 Ga.upf
ATOMIC_POSITIONS angstrom
Pa -0.017 0.697 1.629
Pa 3.339 4.321 4.886
Nb 3.411 2.939 1.629
Nb -0.089 2.079 4.886
Ga 0.990 3.752 0.334
Ga 0.990 3.752 2.923
Ga 2.332 1.265 6.180
Ga 2.332 1.265 3.591
CELL_PARAMETERS angstrom
4.731 -0.114 0.000
-1.409 5.132 0.000
0.000 0.000 6.514
```

Crystalline Th2TeOs at its relaxed geometry. Source: Alexandria via LeMat-Bulk, functional GGA-PBE. Values from VASP.

Values from the calculation:
- Energy above the most stable polymorph in this dataset: 1.16 eV per formula unit
- Energy: -31.40 eV/cell
- Formation energy (no corrections): -2.186 eV per formula unit

Structure (Quantum ESPRESSO input):
```
&SYSTEM
  ibrav = 0, nat = 4, ntyp = 3
/
ATOMIC_SPECIES
Te 127.60 Te.upf
Os 190.23 Os.upf
Th 232.04 Th.upf
ATOMIC_POSITIONS angstrom
Te 1.776 1.776 4.066
Os 1.776 1.776 0.000
Th 0.000 0.000 6.329
Th 0.000 0.000 1.803
CELL_PARAMETERS angstrom
3.552 0.000 0.000
0.000 3.552 0.000
0.000 0.000 8.132
```

Crystalline Na2PaTcO8 at its relaxed geometry. Source: Alexandria via LeMat-Bulk, functional GGA-PBE. Values from VASP.

Values from the calculation:
- Energy: -78.42 eV/cell
- Formation energy (no corrections): -16.256 eV per formula unit

Structure (Quantum ESPRESSO input):
```
&SYSTEM
  ibrav = 0, nat = 12, ntyp = 4
/
ATOMIC_SPECIES
Na 22.99 Na.upf
Pa 231.04 Pa.upf
Tc 98.00 Tc.upf
O 16.00 O.upf
ATOMIC_POSITIONS angstrom
Na -2.959 -0.683 -0.765
Na -0.509 -5.651 -2.834
Pa 0.167 -3.012 0.079
Tc 0.000 0.000 0.000
O -3.153 -5.043 -2.232
O -1.137 -4.879 -0.240
O -3.871 -5.011 0.515
O -0.315 -1.291 -1.368
O -2.331 -1.455 -3.360
O 0.403 -1.323 -4.114
O -2.838 -2.869 -0.708
O -0.631 -3.465 -2.892
CELL_PARAMETERS angstrom
-5.157 -0.249 1.423
1.354 -0.061 -5.181
0.335 -6.024 0.158
```

Crystalline Sr7Mg2Tl2 at its relaxed geometry. Source: Alexandria via LeMat-Bulk, functional GGA-PBE. Values from VASP.

Values from the calculation:
- Energy of formation: 15 meV/atom
- Energy: -19.53 eV/cell

Structure (Quantum ESPRESSO input):
```
&SYSTEM
  ibrav = 0, nat = 11, ntyp = 3
/
ATOMIC_SPECIES
Sr 87.62 Sr.upf
Mg 24.30 Mg.upf
Tl 204.38 Tl.upf
ATOMIC_POSITIONS angstrom
Sr -0.852 2.722 3.692
Sr 3.740 6.496 -0.619
Sr 6.624 6.493 2.450
Sr 2.031 2.720 6.761
Sr 0.000 0.000 0.000
Sr 2.887 6.630 3.072
Sr 2.885 2.586 3.070
Mg 4.659 -0.003 1.401
Mg 1.113 9.219 4.740
Tl 4.759 4.606 5.064
Tl 1.013 4.610 1.077
CELL_PARAMETERS angstrom
7.474 -0.004 -1.244
0.005 9.221 0.003
-1.707 -0.002 7.382
```

Crystalline Hf2Si2Ag at its relaxed geometry. Source: Alexandria via LeMat-Bulk, functional GGA-PBE. Values from VASP.

Values from the calculation:
- Energy above the most stable polymorph in this dataset: 3.02 eV per formula unit
- Energy: -33.21 eV/cell
- Formation energy (no corrections): 0.392 eV per formula unit

Structure (Quantum ESPRESSO input):
```
&SYSTEM
  ibrav = 0, nat = 5, ntyp = 3
/
ATOMIC_SPECIES
Si 28.09 Si.upf
Hf 178.49 Hf.upf
Ag 107.87 Ag.upf
ATOMIC_POSITIONS angstrom
Si -0.789 -0.843 3.169
Si -0.138 -2.255 7.190
Hf -0.157 -0.068 5.650
Hf -0.771 -3.030 4.709
Ag 0.000 0.000 0.000
CELL_PARAMETERS angstrom
-1.117 2.492 3.552
-2.345 -3.433 1.671
2.536 -2.157 5.137
```

N(E_F) per entry: 1.3629 0.5789 1.0412 0.8466 1.4123 0.5254 0.9337 0.9875 0.8418 1.5293 0.2896 1.0699 0.9221 states/eV per atom
Magnetic moment per entry: 0.8 0.0 0.0 0.0 0.0 3.9 1.2 0.0 0.0 0.0 2.0 0.0 0.0 μB per formula unit